*P*
Below is an optimized crystal structure of Sm2DySe4, with properties calculated at the PBE level.

a b c (Å): 8.2167 8.2167 8.2167
angles (deg): 119.55 119.27 91.02
Closest atoms and distances in Å follow each position.
Element x y z (fractional)
Sm1 0.0000 0.0000 0.0000  6 Se 2.93-2.96
Sm2 0.5000 0.0000 0.0000  6 Se 2.91-2.96
Sm3 0.5000 0.0000 0.5000  6 Se 2.93-2.96
Sm4 0.5000 0.5000 0.5000  6 Se 2.91-2.96
Dy1 0.0000 0.0000 0.5000  6 Se 2.85-2.90
Dy2 0.0000 0.5000 0.0000  6 Se 2.85-2.90
Se1 0.2382 0.7433 0.4950  2 Dy 2.90, 3 Sm 2.96
Se2 0.2474 0.2467 0.4993  1 Dy 2.85, 3 Sm 2.91-2.93
Se3 0.2474 0.7482 0.0007  1 Dy 2.85, 3 Sm 2.91-2.93
Se4 0.2517 0.2567 0.9950  2 Dy 2.90, 3 Sm 2.96
Se5 0.7483 0.7433 0.0050  2 Dy 2.90, 3 Sm 2.96
Se6 0.7526 0.2518 0.9993  1 Dy 2.85, 3 Sm 2.91-2.93
Se7 0.7526 0.7533 0.5007  1 Dy 2.85, 3 Sm 2.91-2.93
Se8 0.7618 0.2567 0.5050  2 Dy 2.90, 3 Sm 2.96

***

*Q*
Below is an optimized crystal structure of Sm2DySe4, with properties calculated at the PBE level.

a b c (Å): 7.1677 7.1677 13.9898
angles (deg): 90.00 90.00 147.56
Closest atoms and distances in Å follow each position.
Element x y z (fractional)
Sm1 0.1300 0.8700 0.5709  6 Se 2.86-3.01
Sm2 0.1300 0.8700 0.9291  6 Se 2.86-3.01
Sm3 0.8700 0.1300 0.0709  6 Se 2.86-3.01
Sm4 0.8700 0.1300 0.4291  6 Se 2.86-3.01
Dy1 0.3724 0.6276 0.7500  6 Se 2.88-2.95
Dy2 0.6276 0.3724 0.2500  6 Se 2.88-2.95
Se1 0.0230 0.9770 0.7500  2 Dy 2.88, 2 Sm 2.91
Se2 0.2207 0.7793 0.1247  2 Dy 2.95, 3 Sm 2.97-3.01
Se3 0.2207 0.7793 0.3753  2 Dy 2.95, 3 Sm 2.97-3.01
Se4 0.5000 0.5000 0.0000  4 Sm 2.86
Se5 0.5000 0.5000 0.5000  4 Sm 2.86
Se6 0.7793 0.2207 0.6247  2 Dy 2.95, 3 Sm 2.97-3.01
Se7 0.7793 0.2207 0.8753  2 Dy 2.95, 3 Sm 2.97-3.01
Se8 0.9770 0.0230 0.2500  2 Dy 2.88, 2 Sm 2.91

***

Verdict on stability: *Q* comes out at the bottom.

***

*P*
Below is an optimized crystal structure of SmDy3Se4, with properties calculated at the PBE level.

a b c (Å): 5.8005 5.8005 5.8005
angles (deg): 90.00 90.00 90.00
Closest atoms and distances in Å follow each position.
Element x y z (fractional)
Sm1 0.0000 0.0000 0.0000  6 Se 2.90
Dy1 0.0000 0.5000 0.5000  6 Se 2.90
Dy2 0.5000 0.0000 0.5000  6 Se 2.90
Dy3 0.5000 0.5000 0.0000  6 Se 2.90
Se1 0.0000 0.0000 0.5000  4 Dy 2.90, 2 Sm 2.90
Se2 0.0000 0.5000 0.0000  4 Dy 2.90, 2 Sm 2.90
Se3 0.5000 0.0000 0.0000  4 Dy 2.90, 2 Sm 2.90
Se4 0.5000 0.5000 0.5000  6 Dy 2.90

***

*Q*
Below is an optimized crystal structure of SmDy3Se4, with properties calculated at the PBE level.

a b c (Å): 13.6424 13.6424 13.6424
angles (deg): 17.26 17.26 17.26
Closest atoms and distances in Å follow each position.
Element x y z (fractional)
Sm1 0.0000 0.0000 0.0000  6 Se 2.95
Dy1 0.2491 0.2491 0.2491  6 Se 2.87-2.89
Dy2 0.5000 0.5000 0.5000  6 Se 2.89
Dy3 0.7509 0.7509 0.7509  6 Se 2.87-2.89
Se1 0.1256 0.1256 0.1256  6 Dy 2.89
Se2 0.3771 0.3771 0.3771  3 Dy 2.87, 3 Sm 2.95
Se3 0.6229 0.6229 0.6229  3 Dy 2.87, 3 Sm 2.95
Se4 0.8744 0.8744 0.8744  6 Dy 2.89

***

Verdict on stability: *P* comes out at the bottom.

***

*P*
Below is an optimized crystal structure of Sm2Dy3Se6, with properties calculated at the PBE level.

a b c (Å): 7.0865 7.0865 7.1115
angles (deg): 99.61 99.61 119.75
Closest atoms and distances in Å follow each position.
Element x y z (fractional)
Sm1 0.1650 0.8350 0.0000  6 Se 2.91-2.95
Sm2 0.8350 0.1650 0.0000  6 Se 2.91-2.95
Dy1 0.0000 0.0000 0.5000  6 Se 2.86-2.94
Dy2 0.3345 0.6655 0.5000  6 Se 2.86-2.92
Dy3 0.6655 0.3345 0.5000  6 Se 2.86-2.92
Se1 0.0874 0.4153 0.7452  3 Dy 2.86-2.92, 2 Sm 2.94-2.95
Se2 0.2579 0.2579 0.2514  3 Dy 2.86-2.94, 2 Sm 2.91
Se3 0.4153 0.0874 0.7452  3 Dy 2.86-2.92, 2 Sm 2.94-2.95
Se4 0.5847 0.9126 0.2548  3 Dy 2.86-2.92, 2 Sm 2.94-2.95
Se5 0.7421 0.7421 0.7486  3 Dy 2.86-2.94, 2 Sm 2.91
Se6 0.9126 0.5847 0.2548  3 Dy 2.86-2.92, 2 Sm 2.94-2.95

***

*Q*
Below is an optimized crystal structure of Sm2Dy3Se6, with properties calculated at the PBE level.

a b c (Å): 20.2866 20.2866 20.2866
angles (deg): 11.78 11.78 11.78
Closest atoms and distances in Å follow each position.
Element x y z (fractional)
Sm1 0.0542 0.0542 0.0542  6 Se 2.81-3.08
Sm2 0.9458 0.9458 0.9458  6 Se 2.81-3.08
Dy1 0.2194 0.2194 0.2194  6 Se 2.87-2.93
Dy2 0.5000 0.5000 0.5000  6 Se 2.90
Dy3 0.7806 0.7806 0.7806  6 Se 2.87-2.93
Se1 0.1399 0.1399 0.1399  6 Dy 2.87-2.90
Se2 0.3032 0.3032 0.3032  3 Sm 2.81
Se3 0.4194 0.4194 0.4194  3 Dy 2.93, 3 Sm 3.08
Se4 0.5806 0.5806 0.5806  3 Dy 2.93, 3 Sm 3.08
Se5 0.6968 0.6968 0.6968  3 Sm 2.81
Se6 0.8601 0.8601 0.8601  6 Dy 2.87-2.90

***

Verdict on stability: *Q* comes out at the bottom.

***

*P*
Below is an optimized crystal structure of SmDy2Se, with properties calculated at the PBE level.

a b c (Å): 9.7539 9.7539 9.7539
angles (deg): 22.46 22.46 22.46
Closest atoms and distances in Å follow each position.
Element x y z (fractional)
Sm1 0.0000 0.0000 0.0000  6 Dy 3.63-3.65, 6 Sm 3.80
Dy1 0.5654 0.5654 0.5654  3 Se 2.87
Dy2 0.7690 0.7690 0.7690  3 Se 2.87
Se1 0.1671 0.1671 0.1671  6 Dy 2.87

***

*Q*
Below is an optimized crystal structure of SmDy2Se, with properties calculated at the PBE level.

a b c (Å): 10.6290 10.6290 10.6290
angles (deg): 20.16 20.16 20.16
Closest atoms and distances in Å follow each position.
Element x y z (fractional)
Sm1 0.0000 0.0000 0.0000  2 Dy 3.40, 6 Sm 3.72
Dy1 0.1090 0.1090 0.1090  3 Se 2.80
Dy2 0.8910 0.8910 0.8910  3 Se 2.80
Se1 0.5000 0.5000 0.5000  6 Dy 2.80

***

Verdict on stability: *Q* comes out at the bottom.

***

*P*
Below is an optimized crystal structure of SmDy2Se4, with properties calculated at the PBE level.

a b c (Å): 7.0325 7.0325 13.8517
angles (deg): 90.00 90.00 146.91
Closest atoms and distances in Å follow each position.
Element x y z (fractional)
Sm1 0.1257 0.8743 0.7500  6 Se 2.94-3.00
Sm2 0.8743 0.1257 0.2500  6 Se 2.94-3.00
Dy1 0.3698 0.6302 0.5689  6 Se 2.82-2.92
Dy2 0.3698 0.6302 0.9311  6 Se 2.82-2.92
Dy3 0.6302 0.3698 0.0689  6 Se 2.82-2.92
Dy4 0.6302 0.3698 0.4311  6 Se 2.82-2.92
Se1 0.0000 0.0000 0.0000  4 Dy 2.83
Se2 0.0000 0.0000 0.5000  4 Dy 2.83
Se3 0.2753 0.7247 0.1208  3 Dy 2.89-2.92, 2 Sm 3.00
Se4 0.2753 0.7247 0.3792  3 Dy 2.89-2.92, 2 Sm 3.00
Se5 0.4657 0.5343 0.7500  2 Dy 2.82, 2 Sm 2.94
Se6 0.5343 0.4657 0.2500  2 Dy 2.82, 2 Sm 2.94
Se7 0.7247 0.2753 0.6208  3 Dy 2.89-2.92, 2 Sm 3.00
Se8 0.7247 0.2753 0.8792  3 Dy 2.89-2.92, 2 Sm 3.00

***

*Q*
Below is an optimized crystal structure of SmDy2Se4, with properties calculated at the PBE level.

a b c (Å): 7.9527 7.9527 7.1444
angles (deg): 115.19 115.19 30.06
Closest atoms and distances in Å follow each position.
Element x y z (fractional)
Sm1 0.0000 0.0000 0.0000  6 Se 2.93-2.97
Dy1 0.2647 0.2647 0.2737  6 Se 2.83-2.94
Dy2 0.7353 0.7353 0.7263  6 Se 2.83-2.94
Se1 0.1267 0.1267 0.4497  3 Dy 2.83-2.90, 1 Sm 2.93
Se2 0.3621 0.3621 0.0074  3 Dy 2.89-2.94, 2 Sm 2.97
Se3 0.6379 0.6379 0.9926  3 Dy 2.89-2.94, 2 Sm 2.97
Se4 0.8733 0.8733 0.5503  3 Dy 2.83-2.90, 1 Sm 2.93

***

Verdict on stability: *Q* comes out at the bottom.

***

*P*
Below is an optimized crystal structure of SmDy3Se6, with properties calculated at the PBE level.

a b c (Å): 11.5991 4.1260 11.8929
angles (deg): 90.00 109.06 90.00
Closest atoms and distances in Å follow each position.
Element x y z (fractional)
Sm1 0.0454 0.2500 0.1937  8 Se 2.99-3.15
Sm2 0.9546 0.7500 0.8063  8 Se 2.99-3.15
Dy1 0.1592 0.2500 0.5842  6 Se 2.79-2.91
Dy2 0.3182 0.7500 0.9986  7 Se 2.83-3.07
Dy3 0.4349 0.2500 0.3327  6 Se 2.81-2.91
Dy4 0.5651 0.7500 0.6673  6 Se 2.81-2.91
Dy5 0.6818 0.2500 0.0014  7 Se 2.83-3.07
Dy6 0.8408 0.7500 0.4158  6 Se 2.79-2.91
Se1 0.0832 0.7500 0.4029  3 Dy 2.86-2.91, 2 Sm 3.15
Se2 0.1141 0.2500 0.9650  3 Sm 2.99-3.07, 2 Dy 3.07
Se3 0.1945 0.7500 0.7501  3 Dy 2.79-2.83, 1 Sm 3.07
Se4 0.2569 0.7500 0.2244  3 Dy 2.91-2.99, 2 Sm 3.13
Se5 0.3952 0.2500 0.5613  4 Dy 2.84-2.90
Se6 0.4802 0.2500 0.1146  4 Dy 2.81-3.06
Se7 0.5198 0.7500 0.8854  4 Dy 2.81-3.06
Se8 0.6048 0.7500 0.4387  4 Dy 2.84-2.90
Se9 0.7431 0.2500 0.7756  3 Dy 2.91-2.99, 2 Sm 3.13
Se10 0.8055 0.2500 0.2499  3 Dy 2.79-2.83, 1 Sm 3.07
Se11 0.8859 0.7500 0.0350  3 Sm 2.99-3.07, 2 Dy 3.07
Se12 0.9168 0.2500 0.5971  3 Dy 2.86-2.91, 2 Sm 3.15

***

*Q*
Below is an optimized crystal structure of SmDy3Se6, with properties calculated at the PBE level.

a b c (Å): 8.4478 8.4478 8.4478
angles (deg): 90.87 90.87 90.87
Closest atoms and distances in Å follow each position.
Element x y z (fractional)
Sm1 0.0000 0.0000 0.0000  6 Se 2.86
Sm2 0.5000 0.5000 0.5000  6 Se 2.91
Dy1 0.0687 0.7453 0.5784  6 Se 2.84-2.97
Dy2 0.2547 0.4216 0.9313  6 Se 2.84-2.97
Dy3 0.4216 0.9313 0.2547  6 Se 2.84-2.97
Dy4 0.5784 0.0687 0.7453  6 Se 2.84-2.97
Dy5 0.7453 0.5784 0.0687  6 Se 2.84-2.97
Dy6 0.9313 0.2547 0.4216  6 Se 2.84-2.97
Se1 0.0348 0.6759 0.9039  3 Dy 2.84-2.94, 1 Sm 2.86
Se2 0.0961 0.9653 0.3241  3 Dy 2.84-2.94, 1 Sm 2.86
Se3 0.1807 0.4146 0.5935  3 Dy 2.85-2.97, 1 Sm 2.91
Se4 0.3241 0.0961 0.9652  3 Dy 2.84-2.94, 1 Sm 2.86
Se5 0.4065 0.8193 0.5854  3 Dy 2.85-2.97, 1 Sm 2.91
Se6 0.4146 0.5935 0.1807  3 Dy 2.85-2.97, 1 Sm 2.91
Se7 0.5854 0.4065 0.8193  3 Dy 2.85-2.97, 1 Sm 2.91
Se8 0.5935 0.1807 0.4146  3 Dy 2.85-2.97, 1 Sm 2.91
Se9 0.6759 0.9039 0.0347  3 Dy 2.84-2.94, 1 Sm 2.86
Se10 0.8193 0.5854 0.4065  3 Dy 2.85-2.97, 1 Sm 2.91
Se11 0.9039 0.0348 0.6759  3 Dy 2.84-2.94, 1 Sm 2.86
Se12 0.9653 0.3241 0.0961  3 Dy 2.84-2.94, 1 Sm 2.86

***

Verdict on stability: *Q* comes out at the bottom.

***

*P*
Below is an optimized crystal structure of Dy4SnSe2, with properties calculated at the PBE level.

a b c (Å): 6.8931 6.8931 13.6889
angles (deg): 90.00 90.00 144.59
Closest atoms and distances in Å follow each position.
Element x y z (fractional)
Dy1 0.0000 0.0000 0.0000  4 Se 2.87
Dy2 0.0000 0.0000 0.5000  4 Se 2.87
Dy3 0.2701 0.7299 0.6237  3 Se 2.79-2.88
Dy4 0.2701 0.7299 0.8763  3 Se 2.79-2.88
Dy5 0.4386 0.5614 0.2500  2 Se 2.79, 2 Sn 3.05
Dy6 0.5614 0.4386 0.7500  2 Se 2.79, 2 Sn 3.05
Dy7 0.7299 0.2701 0.1237  3 Se 2.79-2.88
Dy8 0.7299 0.2701 0.3763  3 Se 2.79-2.88
Sn1 0.1077 0.8923 0.2500  6 Dy 3.05-3.16
Sn2 0.8923 0.1077 0.7500  6 Dy 3.05-3.16
Se1 0.3642 0.6358 0.0590  6 Dy 2.79-2.88
Se2 0.3642 0.6358 0.4410  6 Dy 2.79-2.88
Se3 0.6358 0.3642 0.5590  6 Dy 2.79-2.88
Se4 0.6358 0.3642 0.9410  6 Dy 2.79-2.88

***

*Q*
Below is an optimized crystal structure of Dy4SnSe2, with properties calculated at the PBE level.

a b c (Å): 6.9382 6.9382 4.5330
angles (deg): 90.00 90.00 116.25
Closest atoms and distances in Å follow each position.
Element x y z (fractional)
Dy1 0.0000 0.5000 0.5000  4 Se 3.00
Dy2 0.2378 0.2378 0.0000  2 Se 2.82, 2 Sn 2.97
Dy3 0.5000 0.0000 0.5000  4 Se 3.00
Dy4 0.7622 0.7622 0.0000  2 Se 2.82, 2 Sn 2.97
Sn1 0.5000 0.5000 0.5000  4 Dy 2.97
Se1 0.1879 0.8121 0.0000  6 Dy 2.82-3.00
Se2 0.8121 0.1879 0.0000  6 Dy 2.82-3.00

***

Verdict on stability: *Q* comes out at the bottom.

***

*P*
Below is an optimized crystal structure of SrDySe2, with properties calculated at the PBE level.

a b c (Å): 7.7585 7.7585 7.7585
angles (deg): 30.92 30.92 30.92
Closest atoms and distances in Å follow each position.
Element x y z (fractional)
Sr1 0.0000 0.0000 0.0000  6 Se 3.06-3.19
Dy1 0.8259 0.8259 0.8259  6 Se 2.88-2.95
Se1 0.2377 0.2377 0.2377  3 Dy 2.95, 3 Sr 3.19
Se2 0.4201 0.4201 0.4201  3 Dy 2.88, 3 Sr 3.06

***

*Q*
Below is an optimized crystal structure of SrDySe2, with properties calculated at the PBE level.

a b c (Å): 7.4630 7.4630 7.4630
angles (deg): 32.68 32.68 32.68
Closest atoms and distances in Å follow each position.
Element x y z (fractional)
Sr1 0.0000 0.0000 0.0000  6 Se 3.08
Dy1 0.5000 0.5000 0.5000  6 Se 2.92
Se1 0.2434 0.2434 0.2434  3 Dy 2.92, 3 Sr 3.08
Se2 0.7566 0.7566 0.7566  3 Dy 2.92, 3 Sr 3.08

***

Verdict on stability: *P* comes out at the bottom.

***

*P*
Below is an optimized crystal structure of TbDy2Se, with properties calculated at the PBE level.

a b c (Å): 10.5810 10.5810 10.5810
angles (deg): 20.19 20.19 20.19
Closest atoms and distances in Å follow each position.
Element x y z (fractional)
Tb1 0.0000 0.0000 0.0000  2 Dy 3.38, 6 Tb 3.71
Dy1 0.1086 0.1086 0.1086  3 Se 2.80
Dy2 0.8914 0.8914 0.8914  3 Se 2.80
Se1 0.5000 0.5000 0.5000  6 Dy 2.80

***

*Q*
Below is an optimized crystal structure of TbDy2Se, with properties calculated at the PBE level.

a b c (Å): 9.6700 9.6700 9.6700
angles (deg): 22.59 22.59 22.59
Closest atoms and distances in Å follow each position.
Element x y z (fractional)
Tb1 0.0000 0.0000 0.0000  6 Dy 3.58-3.61, 6 Tb 3.79
Dy1 0.2318 0.2318 0.2318  3 Se 2.87
Dy2 0.4337 0.4337 0.4337  3 Se 2.87
Se1 0.8328 0.8328 0.8328  6 Dy 2.87

***

*R*
Below is an optimized crystal structure of TbDy2Se, with properties calculated at the PBE level.

a b c (Å): 3.6126 3.6126 8.4499
angles (deg): 90.00 90.00 90.00
Closest atoms and distances in Å follow each position.
Element x y z (fractional)
Tb1 0.0000 0.0000 0.0000  8 Dy 3.55, 4 Tb 3.61
Dy1 0.5000 0.5000 0.2913  4 Se 3.10
Dy2 0.5000 0.5000 0.7087  4 Se 3.10
Se1 0.0000 0.0000 0.5000  8 Dy 3.10

***

Verdict on stability: *P* comes out at the bottom.

***

*P*
Below is an optimized crystal structure of Tb2DySe, with properties calculated at the PBE level.

a b c (Å): 3.6204 3.6204 8.4674
angles (deg): 90.00 90.00 90.00
Closest atoms and distances in Å follow each position.
Element x y z (fractional)
Tb1 0.0000 0.0000 0.2089  4 Se 3.11
Tb2 0.0000 0.0000 0.7911  4 Se 3.11
Dy1 0.5000 0.5000 0.5000  8 Tb 3.55, 4 Dy 3.62
Se1 0.5000 0.5000 0.0000  8 Tb 3.11

***

*Q*
Below is an optimized crystal structure of Tb2DySe, with properties calculated at the PBE level.

a b c (Å): 10.5762 10.5762 10.5762
angles (deg): 20.29 20.29 20.29
Closest atoms and distances in Å follow each position.
Element x y z (fractional)
Tb1 0.1084 0.1084 0.1084  3 Se 2.81
Tb2 0.8916 0.8916 0.8916  3 Se 2.81
Dy1 0.0000 0.0000 0.0000  2 Tb 3.37, 6 Dy 3.73
Se1 0.5000 0.5000 0.5000  6 Tb 2.81

***

*R*
Below is an optimized crystal structure of Tb2DySe, with properties calculated at the PBE level.

a b c (Å): 9.6748 9.6748 9.6748
angles (deg): 22.68 22.68 22.68
Closest atoms and distances in Å follow each position.
Element x y z (fractional)
Tb1 0.0000 0.0000 0.0000  3 Se 2.88
Tb2 0.2016 0.2016 0.2016  3 Se 2.88
Dy1 0.4335 0.4335 0.4335  6 Tb 3.58-3.61, 6 Dy 3.80
Se1 0.6007 0.6007 0.6007  6 Tb 2.88

***

Verdict on stability: *Q* comes out at the bottom.